## RbCN2O (PBE)

Data for a relaxed RbCN2O crystal.

V	169	Å³ per cell
formation energy without anion corrections	3.5395	eV per atom
electronic total energy	-14.1	eV per cell
space-group type	P4/mmm, No. 123

Geometry as POSCAR:
```
RbCN2O
1.0
5.809 0.000 0.000
0.000 5.809 0.000
0.000 0.000 5.001
Rb C N O
1 1 2 1
Direct
0.000 0.000 0.000 Rb
0.500 0.500 0.500 C
0.000 0.500 0.000 N
0.500 0.000 0.000 N
0.000 0.000 0.500 O
```

=====

## RbCNO2 (PBE)

Data for a relaxed RbCNO2 crystal.

V	170	Å³ per cell
formation energy without anion corrections	3.0899	eV per atom
electronic total energy	-13.0	eV per cell
space-group type	P4/mmm, No. 123

Geometry as POSCAR:
```
RbCNO2
1.0
5.274 0.000 0.000
0.000 5.274 0.000
0.000 0.000 6.118
Rb C N O
1 1 1 2
Direct
0.000 0.000 0.000 Rb
0.500 0.500 0.500 C
0.000 0.000 0.500 N
0.000 0.500 0.000 O
0.500 0.000 0.000 O
```

=====

## RbCN2O (PBE)

Data for a relaxed RbCN2O crystal.

V	71	Å³ per cell
formation energy without anion corrections	1.8648	eV per atom
electronic total energy	-22.5	eV per cell
space-group type	P4/mmm, No. 123

Geometry as POSCAR:
```
RbCN2O
1.0
3.219 0.000 0.000
0.000 3.219 0.000
0.000 0.000 6.805
Rb C N O
1 1 2 1
Direct
0.000 0.000 0.000 Rb
0.500 0.500 0.500 C
0.000 0.500 0.500 N
0.500 0.000 0.500 N
0.500 0.500 0.000 O
```

=====

## RbCNO2 (PBE)

Data for a relaxed RbCNO2 crystal.

V	68	Å³ per cell
formation energy without anion corrections	0.8178	eV per atom
electronic total energy	-24.3	eV per cell
space-group type	P4/mmm, No. 123

Geometry as POSCAR:
```
RbCNO2
1.0
5.155 0.000 0.000
0.000 5.155 0.000
0.000 0.000 2.559
Rb C N O
1 1 1 2
Direct
0.000 0.000 0.000 Rb
0.500 0.500 0.500 C
0.500 0.500 0.000 N
0.000 0.500 0.500 O
0.500 0.000 0.500 O
```

=====

## RbCNO (PBE)

Data for a relaxed RbCNO crystal.

V	310	Å³ per cell
formation energy without anion corrections	-0.9754	eV per atom
electronic total energy	-109.5	eV per cell
space-group type	Ima2, No. 46

Geometry as POSCAR:
```
RbCNO
1.0
7.633 0.000 0.000
0.000 6.335 0.000
0.000 0.000 6.403
Rb C N O
4 4 4 4
Direct
0.000 0.000 0.000 Rb
0.000 0.500 0.500 Rb
0.500 0.000 0.000 Rb
0.500 0.500 0.500 Rb
0.250 0.003 0.507 C
0.250 0.497 0.007 C
0.750 0.503 0.007 C
0.750 0.997 0.507 C
0.250 0.135 0.640 N
0.250 0.365 0.140 N
0.750 0.635 0.140 N
0.750 0.865 0.640 N
0.250 0.634 0.870 O
0.250 0.866 0.370 O
0.750 0.134 0.370 O
0.750 0.366 0.870 O
```

=====

## ReCN2O (PBE)

Data for a relaxed ReCN2O crystal.

V	39	Å³ per cell
formation energy without anion corrections	1.8737	eV per atom
electronic total energy	-33.9	eV per cell
space-group type	P4/mmm, No. 123

Geometry as POSCAR:
```
ReCN2O
1.0
3.408 0.000 0.000
0.000 3.408 0.000
0.000 0.000 3.346
Re C N O
1 1 2 1
Direct
0.000 0.000 0.000 Re
0.500 0.500 0.500 C
0.000 0.500 0.500 N
0.500 0.000 0.500 N
0.500 0.500 0.000 O
```

=====

## ReCN2O (PBE)

Data for a relaxed ReCN2O crystal.

V	58	Å³ per cell
formation energy without anion corrections	1.5146	eV per atom
electronic total energy	-35.7	eV per cell
space-group type	P4/mmm, No. 123

Geometry as POSCAR:
```
ReCN2O
1.0
3.919 0.000 0.000
0.000 3.919 0.000
0.000 0.000 3.768
Re C N O
1 1 2 1
Direct
0.000 0.000 0.000 Re
0.500 0.500 0.500 C
0.000 0.500 0.000 N
0.500 0.000 0.000 N
0.000 0.000 0.500 O
```

=====

## RuCN2O (PBE)

Data for a relaxed RuCN2O crystal.

V	57	Å³ per cell
formation energy without anion corrections	2.0737	eV per atom
electronic total energy	-29.7	eV per cell
space-group type	P4/mmm, No. 123

Geometry as POSCAR:
```
RuCN2O
1.0
3.834 0.000 0.000
0.000 3.834 0.000
0.000 0.000 3.848
Ru C N O
1 1 2 1
Direct
0.000 0.000 0.000 Ru
0.500 0.500 0.500 C
0.000 0.500 0.000 N
0.500 0.000 0.000 N
0.000 0.000 0.500 O
```

=====

## RuCNO2 (PBE)

Data for a relaxed RuCNO2 crystal.

V	56	Å³ per cell
formation energy without anion corrections	1.4798	eV per atom
electronic total energy	-29.3	eV per cell
space-group type	P4/mmm, No. 123

Geometry as POSCAR:
```
RuCNO2
1.0
3.812 0.000 0.000
0.000 3.812 0.000
0.000 0.000 3.847
Ru C N O
1 1 1 2
Direct
0.000 0.000 0.000 Ru
0.500 0.500 0.500 C
0.000 0.000 0.500 N
0.000 0.500 0.000 O
0.500 0.000 0.000 O
```

=====

## RuCN2O (PBE)

Data for a relaxed RuCN2O crystal.

V	39	Å³ per cell
formation energy without anion corrections	1.8849	eV per atom
electronic total energy	-30.7	eV per cell
space-group type	P4/mmm, No. 123

Geometry as POSCAR:
```
RuCN2O
1.0
3.355 0.000 0.000
0.000 3.355 0.000
0.000 0.000 3.438
Ru C N O
1 1 2 1
Direct
0.000 0.000 0.000 Ru
0.500 0.500 0.500 C
0.000 0.500 0.500 N
0.500 0.000 0.500 N
0.500 0.500 0.000 O
```

=====

## RuCNO2 (PBE)

Data for a relaxed RuCNO2 crystal.

V	40	Å³ per cell
formation energy without anion corrections	1.4713	eV per atom
electronic total energy	-29.4	eV per cell
space-group type	P4/mmm, No. 123

Geometry as POSCAR:
```
RuCNO2
1.0
3.427 0.000 0.000
0.000 3.427 0.000
0.000 0.000 3.365
Ru C N O
1 1 1 2
Direct
0.000 0.000 0.000 Ru
0.500 0.500 0.500 C
0.500 0.500 0.000 N
0.000 0.500 0.500 O
0.500 0.000 0.500 O
```

=====

## SbCN2O (PBE)

Data for a relaxed SbCN2O crystal.

V	66	Å³ per cell
formation energy without anion corrections	2.1893	eV per atom
electronic total energy	-24.0	eV per cell
space-group type	P4/mmm, No. 123

Geometry as POSCAR:
```
SbCN2O
1.0
4.129 0.000 0.000
0.000 4.129 0.000
0.000 0.000 3.846
Sb C N O
1 1 2 1
Direct
0.000 0.000 0.000 Sb
0.500 0.500 0.500 C
0.000 0.500 0.000 N
0.500 0.000 0.000 N
0.000 0.000 0.500 O
```

=====

## SbCN2O (PBE)

Data for a relaxed SbCN2O crystal.

V	43	Å³ per cell
formation energy without anion corrections	1.5491	eV per atom
electronic total energy	-27.2	eV per cell
space-group type	P4/mmm, No. 123

Geometry as POSCAR:
```
SbCN2O
1.0
3.502 0.000 0.000
0.000 3.502 0.000
0.000 0.000 3.526
Sb C N O
1 1 2 1
Direct
0.000 0.000 0.000 Sb
0.500 0.500 0.500 C
0.000 0.500 0.500 N
0.500 0.000 0.500 N
0.500 0.500 0.000 O
```